## NaPSeS2 (PBE)

Data for a relaxed structure of NaPSeS2.

Values from the calculation:
- energy (eV per atom) = -3.308
- magnetization (μB per formula unit) = 1.34
- energy relative to the lowest polymorph listed for this composition (meV per atom) = 0

Cell lengths 4.973, 4.973, 4.812 Å; angles 90.00, 90.00, 90.00 degrees
Space group P4/mmm (No. 123)
Inequivalent atoms, fractional coordinates:
Na: 0.000 0.000 0.000 x1
P: 0.500 0.500 0.000 x1
Se: 0.500 0.500 0.500 x1
S: 0.000 0.500 0.500 x2


## NaSiPS2 (PBE)

Data for a relaxed structure of NaSiPS2.

Values from the calculation:
- energy (eV per atom) = -2.785
- magnetization (μB per formula unit) = 0.00
- energy relative to the lowest polymorph listed for this composition (meV per atom) = 1242

Cell lengths 4.881, 4.881, 4.757 Å; angles 90.00, 90.00, 90.00 degrees
Space group P4/mmm (No. 123)
Inequivalent atoms, fractional coordinates:
Na: 0.000 0.000 0.000 x1
Si: 0.500 0.500 0.500 x1
P: 0.000 0.000 0.500 x1
S: 0.000 0.500 0.000 x2


## NaSiPS2 (PBE)

Data for a relaxed structure of NaSiPS2.

Values from the calculation:
- energy (eV per atom) = -4.026
- magnetization (μB per formula unit) = 0.91
- energy relative to the lowest polymorph listed for this composition (meV per atom) = 0

Cell lengths 4.738, 4.738, 4.493 Å; angles 90.00, 90.00, 90.00 degrees
Space group P4/mmm (No. 123)
Inequivalent atoms, fractional coordinates:
Na: 0.000 0.000 0.000 x1
Si: 0.500 0.500 0.500 x1
P: 0.500 0.500 0.000 x1
S: 0.000 0.500 0.500 x2


## NaSiP2S8 (PBE)

Data for a relaxed structure of NaSiP2S8.

Values from the calculation:
- energy (eV per atom) = -4.450
- magnetization (μB per formula unit) = 0.76

Cell lengths 5.8369, 5.8369, 8.6608 Å; angles 90.00, 90.00, 120.00 degrees
Space group P-3 (No. 147)
Inequivalent atoms, fractional coordinates:
Na: 0.0000 0.0000 0.0000 x1
Si: 0.0000 0.0000 0.5000 x1
P: 0.3333 0.6667 0.7261 x2
S: 0.0044 0.6901 0.3321 x6
S: 0.3333 0.6667 0.9587 x2


## NaSnPS6 (PBE)

Data for a relaxed structure of NaSnPS6.

Values from the calculation:
- energy (eV per atom) = -4.033
- magnetization (μB per formula unit) = 1.62

Cell lengths 6.1186, 6.1186, 6.5690 Å; angles 90.00, 90.00, 120.00 degrees
Space group P312 (No. 149)
Inequivalent atoms, fractional coordinates:
Na: 0.0000 0.0000 0.0000 x1
Sn: 0.3333 0.6667 0.5000 x1
P: 0.6667 0.3333 0.5000 x1
S: 0.3900 0.0452 0.7117 x6


## NaSnP2S8 (PBE)

Data for a relaxed structure of NaSnP2S8.

Values from the calculation:
- energy (eV per atom) = -4.325
- magnetization (μB per formula unit) = 1.01

Cell lengths 6.0063, 6.0063, 9.0228 Å; angles 90.00, 90.00, 120.00 degrees
Space group P-3 (No. 147)
Inequivalent atoms, fractional coordinates:
Na: 0.0000 0.0000 0.0000 x1
Sn: 0.0000 0.0000 0.5000 x1
P: 0.3333 0.6667 0.7407 x2
S: 0.0036 0.6621 0.3178 x6
S: 0.3333 0.6667 0.9649 x2


## NaSrPS4 (PBE)

Data for a relaxed structure of NaSrPS4.

Values from the calculation:
- energy (eV per atom) = -4.653
- magnetization (μB per formula unit) = 0.00

Cell lengths 6.667, 6.628, 8.447 Å; angles 90.00, 103.47, 90.00 degrees
Space group P2_1/m (No. 11)
Inequivalent atoms, fractional coordinates:
Na: 0.207 0.250 0.035 x2
Sr: 0.231 0.250 0.547 x2
P: 0.219 0.750 0.295 x2
S: 0.023 0.504 0.248 x4
S: 0.354 0.750 0.540 x2
S: 0.423 0.750 0.150 x2


## NaTaPS2 (PBE)

Data for a relaxed structure of NaTaPS2.

Values from the calculation:
- energy (eV per atom) = -3.967
- magnetization (μB per formula unit) = 0.00
- energy relative to the lowest polymorph listed for this composition (meV per atom) = 1908

Cell lengths 4.627, 4.627, 4.619 Å; angles 90.00, 90.00, 90.00 degrees
Space group P4/mmm (No. 123)
Inequivalent atoms, fractional coordinates:
Na: 0.000 0.000 0.000 x1
Ta: 0.500 0.500 0.500 x1
P: 0.000 0.000 0.500 x1
S: 0.000 0.500 0.000 x2